No. 1
Tb5Ce2Y6 | PBE | optimized geometry

Results
- Final energy: -5.5394 eV/atom

Cell: 3.5751 11.6591 20.3620 Å, 90.00 90.00 90.00°
Each line ends with the local moment (μB).
Atoms (fractional coordinates):
Tb 0.5000 0.0862 0.2228  0.03
Tb 0.5000 0.2999 0.4463  0.00
Tb 0.5000 0.9138 0.7772  0.03
Y 0.0000 0.4194 0.8655  -0.01
Y 0.0000 0.0603 0.0778  -0.01
Y 0.0000 0.0806 0.3655  -0.01
Y 0.0000 0.5806 0.1345  -0.01
Y 0.0000 0.9397 0.9222  -0.01
Y 0.5000 0.8218 0.3682  0.03
Tb 0.5000 0.2001 0.9463  0.00
Tb 0.5000 0.7001 0.5537  0.00
Y 0.0000 0.9194 0.6345  -0.01
Ce 0.0000 0.8282 0.2156  0.71
Tb 0.5000 0.4138 0.7228  0.03
Tb 0.5000 0.5000 0.0000  -0.03
Ce 0.0000 0.3282 0.2844  0.71
Tb 0.5000 0.7999 0.0537  0.00
Y 0.5000 0.6782 0.8682  0.03
Y 0.0000 0.5603 0.4222  -0.01
Y 0.5000 0.1782 0.6318  0.03
Tb 0.5000 0.0000 0.5000  -0.03
Y 0.0000 0.4397 0.5778  -0.01
Ce 0.0000 0.6718 0.7156  0.71
Tb 0.5000 0.5862 0.2772  0.03
Ce 0.0000 0.1718 0.7844  0.71
Y 0.5000 0.3218 0.1318  0.03


No. 2
Tb12CeY7 | PBE | optimized geometry

Results
- Final energy: -5.1571 eV/atom

Cell: 9.3239 9.3239 9.3239 Å, 108.13 108.13 108.13°
Each line ends with the local moment (μB).
Atoms (fractional coordinates):
Tb 0.6772 0.3953 0.2107  -0.01
Tb 0.3953 0.2107 0.6772  -0.01
Tb 0.9364 0.6987 0.5958  0.02
Tb 0.3228 0.6047 0.7893  -0.01
Tb 0.6987 0.5958 0.9364  0.02
Tb 0.7893 0.3228 0.6047  -0.01
Y 0.0003 0.1082 0.6850  0.01
Tb 0.4042 0.0636 0.3013  0.02
Y 0.1082 0.6850 0.0003  0.01
Ce 0.0000 0.0000 0.0000  0.48
Tb 0.2107 0.6772 0.3953  -0.01
Y 0.8918 0.3150 0.9997  0.01
Y 0.9997 0.8918 0.3150  0.01
Y 0.5000 0.5000 0.5000  0.00
Tb 0.6047 0.7893 0.3228  -0.01
Tb 0.0636 0.3013 0.4042  0.02
Tb 0.3013 0.4042 0.0636  0.02
Tb 0.5958 0.9364 0.6987  0.02
Y 0.3150 0.9997 0.8918  0.01
Y 0.6850 0.0003 0.1082  0.01


No. 3
Tb4CeY2 | PBE | optimized geometry

Results
- Final energy: -4.7945 eV/atom

Cell: 5.9340 6.1530 7.1254 Å, 115.58 90.00 90.00°
Each line ends with the local moment (μB).
Atoms (fractional coordinates):
Ce 0.0000 0.5000 0.0000  0.99
Y 0.5000 0.1121 0.2243  0.14
Tb 0.0000 0.2014 0.4028  0.07
Tb 0.0000 0.7986 0.5972  0.07
Tb 0.5000 0.3638 0.7276  0.22
Tb 0.5000 0.6362 0.2724  0.22
Y 0.5000 0.8879 0.7757  0.14